# Cs2InSi

A relaxed Cs2InSi crystal (PBE, Alexandria).

Values from the calculation:
Its crystal system is tetragonal. Its uncorrected formation energy is 0.68 eV per atom. The excess energy over the best structure of this formula in the dataset comes out at 0.70 eV/f.u. For the calculated volume, the calculation gives 335.0 Å³/cell.

a = 13.393 Å, b = 13.393 Å, c = 13.393 Å
α = 158.06°, β = 158.06°, γ = 31.22°
Sites, in units of the cell vectors:
Cs: 0.124 0.625 0.999
Cs: 0.375 0.374 0.499
Cs: 0.626 0.125 0.001
Cs: 0.875 0.876 0.501
In: 0.250 0.750 0.500
In: 0.500 0.500 0.000
Si: 0.000 0.000 0.000
Si: 0.750 0.250 0.500